A | VASP calculation (PBE-GGA) on Ba2PtPb2 after structural relaxation.

The structure in POSCAR format:
```
Ba2PtPb2
1.0
-2.349 1.557 4.047
3.225 -1.801 5.569
4.042 10.679 1.242
Pb Ba Pt
4 4 2
Direct
0.362 0.157 0.119
0.638 0.843 0.881
0.876 0.805 0.444
0.124 0.195 0.556
0.340 0.654 0.666
0.068 0.745 0.119
0.660 0.346 0.334
0.932 0.255 0.881
0.372 0.924 0.332
0.628 0.076 0.668
```

Properties
Total magnetization = 0.00 μB per formula unit
Space-group type = C2/m
Crystal system = monoclinic

B | VASP calculation (PBE-GGA) on Ba2PtPb2 after structural relaxation.

The structure in POSCAR format:
```
Ba2PtPb2
1.0
4.208 0.003 0.792
2.076 6.756 0.514
-0.188 0.410 12.583
Ba Pt Pb
4 2 4
Direct
0.096 0.691 0.117
0.722 0.197 0.358
0.278 0.803 0.642
0.904 0.309 0.883
0.431 0.849 0.290
0.569 0.151 0.710
0.623 0.865 0.889
0.377 0.135 0.111
0.027 0.347 0.599
0.973 0.653 0.401
```

Properties
Total magnetization = 0.00 μB per formula unit
Space-group type = C2/m
Crystal system = monoclinic

How far above the most stable structure does each one sit? In meV/atom: A 0; B 7.

A | VASP calculation (PBE-GGA) on BaPt3Pb after structural relaxation.

The structure in POSCAR format:
```
BaPt3Pb
1.0
-4.335 2.863 -0.151
-0.749 -1.396 -4.950
-2.767 -4.107 1.577
Pt Pb Ba
3 1 1
Direct
0.000 0.500 0.000
0.000 0.000 0.500
0.500 0.000 0.000
0.000 0.000 0.000
0.500 0.500 0.500
```

Properties
Total magnetization = 0.00 μB per formula unit
Space-group type = Pm-3m
Crystal system = cubic

B | VASP calculation (PBE-GGA) on BaPt3Pb after structural relaxation.

The structure in POSCAR format:
```
BaPt3Pb
1.0
-4.673 2.682 -0.166
-2.116 -3.468 3.543
1.656 3.136 4.059
Pt Ba Pb
3 1 1
Direct
0.000 0.000 0.500
0.500 0.000 0.000
0.000 0.500 0.000
0.000 0.000 0.000
0.500 0.500 0.500
```

Properties
Total magnetization = 0.00 μB per formula unit
Space-group type = Pm-3m
Crystal system = cubic

How far above the most stable structure does each one sit? In meV/atom: A 0; B 1152.

A | VASP calculation (PBE-GGA) on BaTcPtPb2 after structural relaxation.

The structure in POSCAR format:
```
BaTcPtPb2
1.0
5.239 0.000 0.000
0.000 5.635 0.000
0.000 0.000 5.239
Tc Pt Pb Ba
1 1 2 1
Direct
0.000 0.000 0.000
0.500 0.500 0.500
0.500 0.000 0.000
0.000 0.000 0.500
0.000 0.500 0.000
```

Properties
Total magnetization = 0.00 μB per formula unit
Space-group type = P4/mmm
Crystal system = tetragonal

B | VASP calculation (PBE-GGA) on BaTcPtPb2 after structural relaxation.

The structure in POSCAR format:
```
BaTcPtPb2
1.0
-0.760 -5.123 1.511
3.788 0.556 3.790
-3.760 1.598 3.523
Ba Pt Pb Tc
1 1 2 1
Direct
0.500 0.500 0.500
0.000 0.000 0.000
0.000 0.000 0.500
0.500 0.000 0.000
0.000 0.500 0.000
```

Properties
Total magnetization = 3.44 μB per formula unit
Space-group type = P4/mmm
Crystal system = tetragonal

How far above the most stable structure does each one sit? In meV/atom: A 0; B 10.

A | VASP calculation (PBE-GGA) on BaPuPb after structural relaxation.

The structure in POSCAR format:
```
BaPuPb
1.0
3.862 0.000 0.000
0.000 5.670 0.000
0.000 -2.835 4.910
Ba Pb Pu
1 1 1
Direct
0.667 0.333 0.667
0.101 0.000 0.000
0.231 0.667 0.333
```

Properties
Total magnetization = 6.14 μB per formula unit
Space-group type = P3m1
Crystal system = trigonal

B | VASP calculation (PBE-GGA) on BaPuPb after structural relaxation.

The structure in POSCAR format:
```
BaPuPb
1.0
-2.855 -1.993 0.739
2.076 -2.351 1.682
-1.865 7.324 12.540
Pb Pu Ba
2 2 2
Direct
0.000 0.500 0.309
0.500 0.000 0.691
0.500 0.500 0.500
0.000 0.000 0.500
0.500 0.000 0.136
0.000 0.500 0.864
```

Properties
Total magnetization = 0.00 μB per formula unit
Space-group type = P4/nmm
Crystal system = tetragonal

How far above the most stable structure does each one sit? In meV/atom: A 0; B 257.

A | VASP calculation (PBE-GGA) on RbBaPb2 after structural relaxation.

The structure in POSCAR format:
```
RbBaPb2
1.0
-5.333 0.851 0.065
-0.843 -5.217 -0.828
-0.067 -0.827 5.284
Rb Pb Ba
1 2 1
Direct
0.500 0.000 0.000
0.000 0.000 0.500
0.000 0.500 0.000
0.500 0.500 0.500
```

Properties
Total magnetization = 0.00 μB per formula unit
Space-group type = P4/mmm
Crystal system = tetragonal

B | VASP calculation (PBE-GGA) on RbBaPb2 after structural relaxation.

The structure in POSCAR format:
```
RbBaPb2
1.0
0.000 4.333 4.333
4.333 0.000 4.333
4.333 4.333 0.000
Ba Pb Rb
1 2 1
Direct
0.500 0.500 0.500
0.250 0.250 0.250
0.750 0.750 0.750
0.000 0.000 0.000
```

Properties
Total magnetization = 0.00 μB per formula unit
Space-group type = Fm-3m
Crystal system = cubic

C | VASP calculation (PBE-GGA) on RbBaPb2 after structural relaxation.

The structure in POSCAR format:
```
RbBaPb2
1.0
4.477 0.000 0.000
0.000 4.477 0.000
0.000 0.000 8.644
Pb Rb Ba
2 1 1
Direct
0.000 0.000 0.790
0.000 0.000 0.210
0.500 0.500 0.500
0.500 0.500 0.000
```

Properties
Total magnetization = 0.00 μB per formula unit
Space-group type = P4/mmm
Crystal system = tetragonal

D | VASP calculation (PBE-GGA) on RbBaPb2 after structural relaxation.

The structure in POSCAR format:
```
RbBaPb2
1.0
-6.409 -7.587 -0.628
7.544 -6.219 -1.852
0.925 -7.487 2.175
Pb Ba Rb
4 2 2
Direct
0.120 0.625 0.250
0.630 0.125 0.250
0.375 0.370 0.750
0.875 0.880 0.750
0.000 0.000 0.000
0.750 0.250 0.500
0.500 0.500 0.000
0.250 0.750 0.500
```

Properties
Total magnetization = 0.00 μB per formula unit
Space-group type = I-42d
Crystal system = tetragonal

How far above the most stable structure does each one sit? In meV/atom: A 18; B 43; C 0; D 280.

A | VASP calculation (PBE-GGA) on RbBa2Pb2 after structural relaxation.

The structure in POSCAR format:
```
RbBa2Pb2
1.0
10.747 0.000 0.000
0.000 10.747 0.000
0.000 0.000 3.782
Ba Rb Pb
4 2 4
Direct
0.374 0.874 0.000
0.126 0.374 0.000
0.874 0.626 0.000
0.626 0.126 0.000
0.000 0.000 0.000
0.500 0.500 0.000
0.172 0.672 0.500
0.672 0.828 0.500
0.828 0.328 0.500
0.328 0.172 0.500
```

Properties
Total magnetization = 0.00 μB per formula unit
Space-group type = P4/mbm
Crystal system = tetragonal

B | VASP calculation (PBE-GGA) on RbBa2Pb2 after structural relaxation.

The structure in POSCAR format:
```
RbBa2Pb2
1.0
-0.293 -6.232 0.386
0.897 0.340 6.176
-6.499 -2.566 4.247
Ba Pb Rb
2 2 1
Direct
0.351 0.351 0.299
0.649 0.649 0.701
0.250 0.750 0.500
0.750 0.250 0.500
0.000 0.000 0.000
```

Properties
Total magnetization = 0.00 μB per formula unit
Space-group type = I4/mmm
Crystal system = tetragonal

How far above the most stable structure does each one sit? In meV/atom: A 0; B 246.

A | VASP calculation (PBE-GGA) on BaRePb3 after structural relaxation.

The structure in POSCAR format:
```
BaRePb3
1.0
5.441 0.000 0.000
0.000 5.441 0.000
0.000 0.000 5.441
Ba Re Pb
1 1 3
Direct
0.500 0.500 0.500
0.000 0.000 0.000
0.000 0.500 0.000
0.500 0.000 0.000
0.000 0.000 0.500
```

Properties
Total magnetization = 0.00 μB per formula unit
Space-group type = Pm-3m
Crystal system = cubic

B | VASP calculation (PBE-GGA) on BaRePb3 after structural relaxation.

The structure in POSCAR format:
```
BaRePb3
1.0
6.022 0.000 0.000
0.000 6.022 0.000
0.000 0.000 6.022
Pb Ba Re
3 1 1
Direct
0.000 0.000 0.500
0.000 0.500 0.000
0.500 0.000 0.000
0.000 0.000 0.000
0.500 0.500 0.500
```

Properties
Total magnetization = 0.00 μB per formula unit
Space-group type = Pm-3m
Crystal system = cubic

How far above the most stable structure does each one sit? In meV/atom: A 0; B 2158.

A | VASP calculation (PBE-GGA) on BaRh3Pb3 after structural relaxation.

The structure in POSCAR format:
```
BaRh3Pb3
1.0
7.453 0.000 0.000
3.726 6.454 0.000
3.726 2.151 8.120
Rh Pb Ba
6 6 2
Direct
0.681 0.222 0.635
0.462 0.681 0.635
0.538 0.319 0.365
0.319 0.778 0.365
0.222 0.462 0.635
0.778 0.538 0.365
0.578 0.969 0.314
0.969 0.139 0.314
0.861 0.422 0.686
0.139 0.578 0.314
0.031 0.861 0.686
0.422 0.031 0.686
0.656 0.656 0.033
0.344 0.344 0.967
```

Properties
Total magnetization = 0.00 μB per formula unit
Space-group type = R-3
Crystal system = trigonal

B | VASP calculation (PBE-GGA) on BaRh3Pb3 after structural relaxation.

The structure in POSCAR format:
```
BaRh3Pb3
1.0
7.468 0.000 0.000
0.000 7.468 0.000
0.000 0.000 7.468
Rh Pb Ba
6 6 2
Direct
0.750 0.000 0.500
0.500 0.250 0.000
0.000 0.500 0.250
0.250 0.000 0.500
0.000 0.500 0.750
0.500 0.750 0.000
0.500 0.000 0.750
0.500 0.000 0.250
0.750 0.500 0.000
0.250 0.500 0.000
0.000 0.750 0.500
0.000 0.250 0.500
0.500 0.500 0.500
0.000 0.000 0.000
```

Properties
Total magnetization = 0.00 μB per formula unit
Space-group type = Pm-3n
Crystal system = cubic

How far above the most stable structure does each one sit? In meV/atom: A 0; B 184.